# Ac4ZnHg GGA-PBE optimized geometry
data_Ac4ZnHg
_cell_length_a 3.994
_cell_length_b 3.994
_cell_length_c 13.671
_cell_angle_alpha 90.00
_cell_angle_beta 90.00
_cell_angle_gamma 90.00
_space_group_name_H-M_alt 'P 1'
_space_group_IT_number 1
_space_group_name_Hall 'P 1'
loop_
_atom_site_label
_atom_site_fract_x
_atom_site_fract_y
_atom_site_fract_z
_atom_site_occupancy
Ac1 0.500 0.500 0.138 1
Ac2 0.500 0.500 0.862 1
Ac3 0.000 0.000 0.649 1
Ac4 0.000 0.000 0.351 1
Hg1 0.500 0.500 0.500 1
Zn1 0.000 0.000 0.000 1
# Crystal system: tetragonal
# Size of the total moment, μB per atom: 0.00
# Formation enthalpy at 0 K, meV per atom: -234
# Polymorph energy (0 for the lowest one), eV per atom: 0.000

***

# In2Ni2Br GGA-PBE optimized geometry
data_In2Ni2Br
_cell_length_a 7.323
_cell_length_b 7.323
_cell_length_c 3.411
_cell_angle_alpha 90.00
_cell_angle_beta 90.00
_cell_angle_gamma 90.00
_space_group_name_H-M_alt 'P 1'
_space_group_IT_number 1
_space_group_name_Hall 'P 1'
loop_
_atom_site_label
_atom_site_fract_x
_atom_site_fract_y
_atom_site_fract_z
_atom_site_occupancy
In1 0.342 0.158 0.500 1
Br1 0.500 0.500 0.000 1
Ni1 0.367 0.867 0.000 1
In2 0.658 0.842 0.500 1
Ni2 0.633 0.133 0.000 1
Ni3 0.133 0.367 0.000 1
In3 0.842 0.342 0.500 1
In4 0.158 0.658 0.500 1
Ni4 0.867 0.633 0.000 1
Br2 0.000 0.000 0.000 1
# Crystal system: tetragonal
# Size of the total moment, μB per atom: 0.00
# Polymorph energy (0 for the lowest one), eV per atom: 0.000
# Formation energy from raw total energies, eV per atom: 0.056

***

# TlInCu GGA-PBE optimized geometry
data_TlInCu
_cell_length_a 6.286
_cell_length_b 6.286
_cell_length_c 3.422
_cell_angle_alpha 74.19
_cell_angle_beta 74.19
_cell_angle_gamma 31.59
_space_group_name_H-M_alt 'P 1'
_space_group_IT_number 1
_space_group_name_Hall 'P 1'
loop_
_atom_site_label
_atom_site_fract_x
_atom_site_fract_y
_atom_site_fract_z
_atom_site_occupancy
Cu1 0.988 0.988 0.012 1
Tl1 0.649 0.649 0.351 1
In1 0.363 0.363 0.637 1
# Crystal system: tetragonal
# Size of the total moment, μB per atom: 0.00
# Formation enthalpy at 0 K, meV per atom: 180

***

# PuHg3Au GGA-PBE optimized geometry
data_PuHg3Au
_cell_length_a 4.919
_cell_length_b 4.996
_cell_length_c 5.871
_cell_angle_alpha 115.18
_cell_angle_beta 90.00
_cell_angle_gamma 90.00
_space_group_name_H-M_alt 'P 1'
_space_group_IT_number 1
_space_group_name_Hall 'P 1'
loop_
_atom_site_label
_atom_site_fract_x
_atom_site_fract_y
_atom_site_fract_z
_atom_site_occupancy
Pu1 0.500 0.052 0.104 1
Au1 0.500 0.385 0.770 1
Hg1 0.000 0.542 0.085 1
Hg2 0.000 0.238 0.476 1
Hg3 0.500 0.742 0.485 1
# Crystal system: orthorhombic
# Size of the total moment, μB per atom: 1.18
# Formation enthalpy at 0 K, meV per atom: -113

***

# Dy3U5As8 GGA-PBE optimized geometry
data_Dy3U5As8
_cell_length_a 8.156
_cell_length_b 8.156
_cell_length_c 8.230
_cell_angle_alpha 60.30
_cell_angle_beta 60.30
_cell_angle_gamma 60.00
_space_group_name_H-M_alt 'P 1'
_space_group_IT_number 1
_space_group_name_Hall 'P 1'
loop_
_atom_site_label
_atom_site_fract_x
_atom_site_fract_y
_atom_site_fract_z
_atom_site_occupancy
As1 0.749 0.749 0.752 1
Dy1 0.500 0.000 0.500 1
Dy2 0.000 0.000 0.500 1
U1 0.500 0.000 0.000 1
As2 0.251 0.251 0.248 1
As3 0.750 0.251 0.250 1
U2 0.000 0.500 0.000 1
U3 0.500 0.500 0.500 1
As4 0.250 0.250 0.750 1
U4 0.000 0.000 0.000 1
As5 0.750 0.750 0.250 1
As6 0.250 0.749 0.750 1
As7 0.749 0.250 0.750 1
As8 0.251 0.750 0.250 1
U5 0.500 0.500 0.000 1
Dy3 0.000 0.500 0.500 1
# Crystal system: trigonal
# Size of the total moment, μB per atom: 0.78
# Formation enthalpy at 0 K, meV per atom: -1032

***

# TlP2PtS8 GGA-PBE optimized geometry
data_TlP2PtS8
_cell_length_a 5.821
_cell_length_b 5.821
_cell_length_c 9.319
_cell_angle_alpha 90.00
_cell_angle_beta 90.00
_cell_angle_gamma 120.00
_space_group_name_H-M_alt 'P 1'
_space_group_IT_number 1
_space_group_name_Hall 'P 1'
loop_
_atom_site_label
_atom_site_fract_x
_atom_site_fract_y
_atom_site_fract_z
_atom_site_occupancy
S1 0.320 0.336 0.342 1
S2 0.336 0.016 0.658 1
S3 0.664 0.984 0.342 1
S4 0.984 0.320 0.658 1
Tl1 0.000 0.000 0.000 1
Pt1 0.000 0.000 0.500 1
S5 0.667 0.333 0.070 1
P1 0.667 0.333 0.285 1
S6 0.680 0.664 0.658 1
S7 0.016 0.680 0.342 1
P2 0.333 0.667 0.715 1
S8 0.333 0.667 0.930 1
# Crystal system: trigonal
# Size of the total moment, μB per atom: 0.00
# Formation energy from raw total energies, eV per atom: -0.117

***

# HgPdBr GGA-PBE optimized geometry
data_HgPdBr
_cell_length_a 6.230
_cell_length_b 5.010
_cell_length_c 10.007
_cell_angle_alpha 90.00
_cell_angle_beta 107.87
_cell_angle_gamma 90.00
_space_group_name_H-M_alt 'P 1'
_space_group_IT_number 1
_space_group_name_Hall 'P 1'
loop_
_atom_site_label
_atom_site_fract_x
_atom_site_fract_y
_atom_site_fract_z
_atom_site_occupancy
Hg1 0.447 0.734 0.392 1
Br1 0.329 0.038 0.155 1
Hg2 0.947 0.766 0.392 1
Br2 0.171 0.538 0.845 1
Pd1 0.318 0.750 0.638 1
Hg3 0.053 0.234 0.608 1
Br3 0.829 0.462 0.155 1
Pd2 0.818 0.750 0.638 1
Hg4 0.553 0.266 0.608 1
Pd3 0.682 0.250 0.362 1
Pd4 0.182 0.250 0.362 1
Br4 0.671 0.962 0.845 1
# Crystal system: monoclinic
# Size of the total moment, μB per atom: 0.00
# Polymorph energy (0 for the lowest one), eV per atom: 0.014
# Formation energy from raw total energies, eV per atom: -0.160

***

# Ho8Zn2In GGA-PBE optimized geometry
data_Ho8Zn2In
_cell_length_a 5.138
_cell_length_b 8.216
_cell_length_c 8.425
_cell_angle_alpha 116.92
_cell_angle_beta 107.75
_cell_angle_gamma 90.00
_space_group_name_H-M_alt 'P 1'
_space_group_IT_number 1
_space_group_name_Hall 'P 1'
loop_
_atom_site_label
_atom_site_fract_x
_atom_site_fract_y
_atom_site_fract_z
_atom_site_occupancy
Ho1 0.686 0.964 0.372 1
In1 0.500 0.000 0.000 1
Zn1 0.219 0.619 0.437 1
Ho2 0.395 0.535 0.791 1
Ho3 0.850 0.790 0.701 1
Ho4 0.605 0.465 0.209 1
Ho5 0.150 0.210 0.299 1
Ho6 0.314 0.036 0.628 1
Zn2 0.781 0.381 0.563 1
Ho7 0.065 0.726 0.129 1
Ho8 0.935 0.274 0.871 1
# Crystal system: monoclinic
# Size of the total moment, μB per atom: 0.00
# Formation enthalpy at 0 K, meV per atom: -205
# Polymorph energy (0 for the lowest one), eV per atom: 0.000

***

> The highest size of the total moment belongs to which entry?

PuHg3Au

***

> What is the formula in the third record?

TlInCu

***

> The highest size of the total moment belongs to which entry?

PuHg3Au

***

> What is the size of the total moment in the fourth record?

1.18 μB per atom